Entry 1:
# Li3CdAu, PBEsol geometry, DFT meta-GGA SCAN
data_Li3CdAu
_chemical_formula_sum 'Li3 Cd1 Au1'
_symmetry_space_group_name_H-M 'P m -3 m'
_symmetry_Int_Tables_number 221
_symmetry_space_group_name_Hall '-P 4 2 3'
_cell_length_a 4.768
_cell_length_b 4.768
_cell_length_c 4.768
_cell_angle_alpha 90.00
_cell_angle_beta 90.00
_cell_angle_gamma 90.00
loop_
_atom_site_label
_atom_site_type_symbol
_atom_site_fract_x
_atom_site_fract_y
_atom_site_fract_z
Li1 Li 0.000 0.000 0.500
Cd1 Cd 0.500 0.500 0.500
Au1 Au 0.000 0.000 0.000
# Calculated density (g/cm³): 5.058
# E_tot (eV per atom): -21.52
# Formation energy (eV per atom): -0.17

Entry 2:
# ZrCo3Sb, PBEsol geometry, DFT meta-GGA SCAN
data_ZrCo3Sb
_chemical_formula_sum 'Zr1 Co3 Sb1'
_symmetry_space_group_name_H-M 'P m -3 m'
_symmetry_Int_Tables_number 221
_symmetry_space_group_name_Hall '-P 4 2 3'
_cell_length_a 4.473
_cell_length_b 4.473
_cell_length_c 4.473
_cell_angle_alpha 90.00
_cell_angle_beta 90.00
_cell_angle_gamma 90.00
loop_
_atom_site_label
_atom_site_type_symbol
_atom_site_fract_x
_atom_site_fract_y
_atom_site_fract_z
Zr1 Zr 0.000 0.000 0.000
Co1 Co 0.000 0.500 0.500
Sb1 Sb 0.500 0.500 0.500
# Formation energy from raw total energies (eV/atom): 0.8764
# Calculated density (g/cm³): 7.232
# E_tot (eV per atom): -23.10

Entry 3:
# HgBrF2, PBEsol geometry, DFT meta-GGA SCAN
data_HgBrF2
_chemical_formula_sum 'Hg4 Br4 F8'
_symmetry_space_group_name_H-M 'I -4 2 d'
_symmetry_Int_Tables_number 122
_symmetry_space_group_name_Hall 'I -4 2bw'
_cell_length_a 7.092
_cell_length_b 7.092
_cell_length_c 5.750
_cell_angle_alpha 90.00
_cell_angle_beta 90.00
_cell_angle_gamma 90.00
loop_
_atom_site_label
_atom_site_type_symbol
_atom_site_fract_x
_atom_site_fract_y
_atom_site_fract_z
Hg1 Hg 0.000 0.000 0.000
Br1 Br 0.000 0.000 0.500
F1 F 0.166 0.250 0.125
# Formation energy from raw total energies (eV/atom): -0.6914
# Calculated density (g/cm³): 7.315
# E_tot (eV per atom): -24.37

Entry 4:
# Y2GaTeW, PBEsol geometry, DFT meta-GGA SCAN
data_Y2GaTeW
_chemical_formula_sum 'Y2 Ga1 Te1 W1'
_symmetry_space_group_name_H-M 'P 4/m m m'
_symmetry_Int_Tables_number 123
_symmetry_space_group_name_Hall '-P 4 2'
_cell_length_a 5.276
_cell_length_b 5.276
_cell_length_c 5.015
_cell_angle_alpha 90.00
_cell_angle_beta 90.00
_cell_angle_gamma 90.00
loop_
_atom_site_label
_atom_site_type_symbol
_atom_site_fract_x
_atom_site_fract_y
_atom_site_fract_z
Y1 Y 0.000 0.500 0.000
Ga1 Ga 0.000 0.000 0.000
Te1 Te 0.000 0.000 0.500
W1 W 0.500 0.500 0.500
# Formation energy from raw total energies (eV/atom): 1.0711
# Calculated density (g/cm³): 6.650
# E_tot (eV per atom): -34.72

Entry 5:
# Ca2MgTa, PBEsol geometry, DFT meta-GGA SCAN
data_Ca2MgTa
_chemical_formula_sum 'Ca2 Mg1 Ta1'
_symmetry_space_group_name_H-M 'P 4 m m'
_symmetry_Int_Tables_number 99
_cell_length_a 3.192
_cell_length_b 3.192
_cell_length_c 10.177
_cell_angle_alpha 90.00
_cell_angle_beta 90.00
_cell_angle_gamma 90.00
loop_
_symmetry_equiv_pos_as_xyz
'x,y,z'
'-y,x,z'
'-x,-y,z'
'y,-x,z'
'-x,y,z'
'y,x,z'
'x,-y,z'
'-y,-x,z'
loop_
_atom_site_label
_atom_site_type_symbol
_atom_site_fract_x
_atom_site_fract_y
_atom_site_fract_z
Ca1 Ca 0.000 0.000 0.000
Ca2 Ca 0.500 0.500 0.319
Mg1 Mg 0.000 0.000 0.576
Ta1 Ta 0.500 0.500 0.771
# Calculated density (g/cm³): 4.569
# E_tot (eV per atom): -22.23
# Formation energy (eV per atom): 0.50

Entry 6:
# NaTe2RuN, PBEsol geometry, DFT meta-GGA SCAN
data_NaTe2RuN
_chemical_formula_sum 'Na1 Te2 Ru1 N1'
_symmetry_space_group_name_H-M 'P 4/m m m'
_symmetry_Int_Tables_number 123
_symmetry_space_group_name_Hall '-P 4 2'
_cell_length_a 5.543
_cell_length_b 5.543
_cell_length_c 3.599
_cell_angle_alpha 90.00
_cell_angle_beta 90.00
_cell_angle_gamma 90.00
loop_
_atom_site_label
_atom_site_type_symbol
_atom_site_fract_x
_atom_site_fract_y
_atom_site_fract_z
Na1 Na 0.000 0.000 0.000
Te1 Te 0.000 0.500 0.500
Ru1 Ru 0.500 0.500 0.500
N1 N 0.500 0.500 0.000
# Formation energy from raw total energies (eV/atom): -0.0555
# Energy above the most stable polymorph in this dataset (eV/atom): 0.000
# Calculated density (g/cm³): 5.907
# E_tot (eV per atom): -24.62

Entry 7:
# ScTlRu2, PBEsol geometry, DFT meta-GGA SCAN
data_ScTlRu2
_chemical_formula_sum 'Sc1 Tl1 Ru2'
_symmetry_space_group_name_H-M 'P 4/m m m'
_symmetry_Int_Tables_number 123
_symmetry_space_group_name_Hall '-P 4 2'
_cell_length_a 3.254
_cell_length_b 3.254
_cell_length_c 6.230
_cell_angle_alpha 90.00
_cell_angle_beta 90.00
_cell_angle_gamma 90.00
loop_
_atom_site_label
_atom_site_type_symbol
_atom_site_fract_x
_atom_site_fract_y
_atom_site_fract_z
Sc1 Sc 0.000 0.000 0.000
Tl1 Tl 0.000 0.000 0.500
Ru1 Ru 0.500 0.500 0.244
# Calculated density (g/cm³): 11.366
# E_tot (eV per atom): -39.07
# Formation energy (eV per atom): -0.01

Entry 8:
# KIr2Pt, PBEsol geometry, DFT meta-GGA SCAN
data_KIr2Pt
_chemical_formula_sum 'K2 Ir4 Pt2'
_symmetry_space_group_name_H-M 'C 1 2/m 1'
_symmetry_Int_Tables_number 12
_cell_length_a 11.890
_cell_length_b 2.669
_cell_length_c 5.917
_cell_angle_alpha 90.00
_cell_angle_beta 115.85
_cell_angle_gamma 90.00
loop_
_symmetry_equiv_pos_as_xyz
'x,y,z'
'-x,-y,-z'
'-x,y,-z'
'x,-y,z'
'x+1/2,y+1/2,z'
'-x+1/2,-y+1/2,-z'
'-x+1/2,y+1/2,-z'
'x+1/2,-y+1/2,z'
loop_
_atom_site_label
_atom_site_type_symbol
_atom_site_fract_x
_atom_site_fract_y
_atom_site_fract_z
K1 K 0.000 0.000 0.000
Ir1 Ir 0.203 0.000 0.616
Pt1 Pt 0.000 0.500 0.500
# Energy above the most stable polymorph in this dataset (eV/atom): 0.000
# Calculated density (g/cm³): 12.157
# E_tot (eV per atom): -54.84
# Formation energy (eV per atom): 0.34

Entry 9:
# HfZn3Cd, PBEsol geometry, DFT meta-GGA SCAN
data_HfZn3Cd
_chemical_formula_sum 'Hf1 Zn3 Cd1'
_symmetry_space_group_name_H-M 'P m -3 m'
_symmetry_Int_Tables_number 221
_symmetry_space_group_name_Hall '-P 4 2 3'
_cell_length_a 5.098
_cell_length_b 5.098
_cell_length_c 5.098
_cell_angle_alpha 90.00
_cell_angle_beta 90.00
_cell_angle_gamma 90.00
loop_
_atom_site_label
_atom_site_type_symbol
_atom_site_fract_x
_atom_site_fract_y
_atom_site_fract_z
Hf1 Hf 0.000 0.000 0.000
Zn1 Zn 0.000 0.000 0.500
Cd1 Cd 0.500 0.500 0.500
# Calculated density (g/cm³): 6.104
# E_tot (eV per atom): -25.70
# Formation energy (eV per atom): 1.02

Entry 10:
# BaCI2N, PBEsol geometry, DFT meta-GGA SCAN
data_BaCI2N
_chemical_formula_sum 'Ba1 C1 I2 N1'
_symmetry_space_group_name_H-M 'P 4/m m m'
_symmetry_Int_Tables_number 123
_symmetry_space_group_name_Hall '-P 4 2'
_cell_length_a 6.203
_cell_length_b 6.203
_cell_length_c 3.163
_cell_angle_alpha 90.00
_cell_angle_beta 90.00
_cell_angle_gamma 90.00
loop_
_atom_site_label
_atom_site_type_symbol
_atom_site_fract_x
_atom_site_fract_y
_atom_site_fract_z
Ba1 Ba 0.000 0.000 0.000
C1 C 0.500 0.500 0.500
I1 I 0.000 0.500 0.500
N1 N 0.500 0.500 0.000
# Formation energy from raw total energies (eV/atom): 0.7796
# Calculated density (g/cm³): 5.692
# E_tot (eV per atom): -25.71

Entry 11:
# ScMn2Fe, PBEsol geometry, DFT meta-GGA SCAN
data_ScMn2Fe
_chemical_formula_sum 'Sc1 Mn2 Fe1'
_symmetry_space_group_name_H-M 'P 1 m 1'
_symmetry_Int_Tables_number 6
_cell_length_a 2.665
_cell_length_b 3.768
_cell_length_c 5.246
_cell_angle_alpha 90.00
_cell_angle_beta 104.40
_cell_angle_gamma 90.00
loop_
_symmetry_equiv_pos_as_xyz
'x,y,z'
'x,-y,z'
loop_
_atom_site_label
_atom_site_type_symbol
_atom_site_fract_x
_atom_site_fract_y
_atom_site_fract_z
Sc1 Sc 0.000 0.000 0.000
Mn1 Mn 0.283 0.500 0.684
Mn2 Mn 0.486 0.000 0.510
Fe1 Fe 0.682 0.500 0.275
# Energy above the most stable polymorph in this dataset (eV/atom): 0.149
# Calculated density (g/cm³): 6.858
# E_tot (eV per atom): -17.03
# Formation energy (eV per atom): 0.19

Entry 12:
# La2CN2O2, PBEsol geometry, DFT meta-GGA SCAN
data_La2CN2O2
_chemical_formula_sum 'La8 C4 N8 O8'
_symmetry_space_group_name_H-M 'F m m 2'
_symmetry_Int_Tables_number 42
_symmetry_space_group_name_Hall 'F 2 -2'
_cell_length_a 5.857
_cell_length_b 12.307
_cell_length_c 5.545
_cell_angle_alpha 90.00
_cell_angle_beta 90.00
_cell_angle_gamma 90.00
loop_
_atom_site_label
_atom_site_type_symbol
_atom_site_fract_x
_atom_site_fract_y
_atom_site_fract_z
La1 La 0.000 0.149 0.000
C1 C 0.000 0.000 0.453
N1 N 0.145 0.000 0.643
O1 O 0.250 0.250 0.254
# Formation energy from raw total energies (eV/atom): -1.7482
# Calculated density (g/cm³): 5.813
# E_tot (eV per atom): -19.94

Entry 13:
# TaBe2Ir, PBEsol geometry, DFT meta-GGA SCAN
data_TaBe2Ir
_chemical_formula_sum 'Ta1 Be2 Ir1'
_symmetry_space_group_name_H-M 'P m m m'
_symmetry_Int_Tables_number 47
_cell_length_a 2.983
_cell_length_b 3.962
_cell_length_c 4.322
_cell_angle_alpha 90.00
_cell_angle_beta 90.00
_cell_angle_gamma 90.00
loop_
_symmetry_equiv_pos_as_xyz
'x,y,z'
'-x,-y,-z'
'-x,-y,z'
'x,y,-z'
'x,-y,-z'
'-x,y,z'
'-x,y,-z'
'x,-y,z'
loop_
_atom_site_label
_atom_site_type_symbol
_atom_site_fract_x
_atom_site_fract_y
_atom_site_fract_z
Ta1 Ta 0.000 0.000 0.000
Be1 Be 0.000 0.500 0.500
Be2 Be 0.500 0.500 0.000
Ir1 Ir 0.500 0.000 0.500
# Calculated density (g/cm³): 12.719
# E_tot (eV per atom): -36.82
# Formation energy (eV per atom): -0.23